(1)
The following is a DFT calculation (PBE-GGA) of a relaxed Mg3AgIr crystal.

Cell: 4.941 4.941 4.941 Å, 90.00 90.00 90.00°
Space group Pm-3m (No. 221)
Unique sites:
Mg 0.000 0.000 0.500
Ag 0.500 0.500 0.500
Ir 0.000 0.000 0.000

excess energy over the best structure of this formula in the dataset: 394.3 meV/atom
D(E_F): 1.871 states/eV/f.u.
energy of formation from the pure elements: 0.135 eV/atom

=====

(2)
The following is a DFT calculation (PBE-GGA) of a relaxed Zn2SbTe crystal.

Cell: 3.085 3.085 10.025 Å, 90.00 90.00 90.00°
Space group P4mm (No. 99)
Unique sites:
Zn 0.000 0.000 0.000
Zn 0.500 0.500 0.169
Sb 0.000 0.000 0.390
Te 0.500 0.500 0.744

D(E_F): 2.670 states/eV/f.u.
total energy: -2.254 eV per atom